Entry 1:
{
  "formula": "YTl2Pt2",
  "functional": "PBE",
  "state": "relaxed",
  "rho_g_cm3": 13.54,
  "crystal_system": "tetragonal",
  "formation_enthalpy_0k_ev_per_atom": -0.172,
  "de_polymorph_ev_per_atom": 0.228,
  "m_tot_mub_per_cell": 0.82,
  "dft_energy_ev_per_cell": -48.3,
  "lattice": [[8.108, 0.000, 0.000], [0.000, 8.108, 0.000], [0.000, 0.000, 3.313]],
  "species": ["Y", "Y", "Tl", "Tl", "Tl", "Tl", "Pt", "Pt", "Pt", "Pt"],
  "frac_coords": [[0.000, 0.000, 0.000], [0.500, 0.500, 0.000], [0.129, 0.371, 0.000], [0.371, 0.871, 0.000], [0.629, 0.129, 0.000], [0.871, 0.629, 0.000], [0.173, 0.673, 0.500], [0.327, 0.173, 0.500], [0.673, 0.827, 0.500], [0.827, 0.327, 0.500]]
}


Entry 2:
{
  "formula": "Pm9TmSc2",
  "functional": "PBE",
  "state": "relaxed",
  "rho_g_cm3": 6.73,
  "crystal_system": "tetragonal",
  "formation_enthalpy_0k_ev_per_atom": 0.031,
  "m_tot_mub_per_cell": 0.00,
  "dft_energy_ev_per_cell": -59.5,
  "lattice": [[5.047, 0.000, 0.000], [0.000, 5.047, 0.000], [0.000, 0.000, 15.151]],
  "species": ["Pm", "Pm", "Pm", "Pm", "Pm", "Pm", "Pm", "Pm", "Pm", "Tm", "Sc", "Sc"],
  "frac_coords": [[0.000, 0.000, 0.000], [0.000, 0.000, 0.335], [0.000, 0.000, 0.665], [0.000, 0.500, 0.170], [0.000, 0.500, 0.500], [0.000, 0.500, 0.830], [0.500, 0.000, 0.170], [0.500, 0.000, 0.500], [0.500, 0.000, 0.830], [0.500, 0.500, 0.000], [0.500, 0.500, 0.335], [0.500, 0.500, 0.665]]
}


Entry 3:
{
  "formula": "RbMgSnTe3",
  "functional": "PBE",
  "state": "relaxed",
  "raw_formation_energy_ev_per_atom": -0.650,
  "rho_g_cm3": 4.37,
  "crystal_system": "monoclinic",
  "m_tot_mub_per_cell": 0.00,
  "dft_energy_ev_per_cell": -39.8,
  "lattice": [[10.286, 0.000, 0.000], [0.000, 4.376, 0.000], [-3.443, 0.000, 10.320]],
  "species": ["Rb", "Rb", "Mg", "Mg", "Sn", "Sn", "Te", "Te", "Te", "Te", "Te", "Te"],
  "frac_coords": [[0.210, 0.250, 0.248], [0.790, 0.750, 0.752], [0.084, 0.250, 0.613], [0.916, 0.750, 0.387], [0.337, 0.750, 0.884], [0.663, 0.250, 0.116], [0.124, 0.250, 0.881], [0.203, 0.750, 0.529], [0.474, 0.750, 0.167], [0.526, 0.250, 0.833], [0.797, 0.250, 0.471], [0.876, 0.750, 0.119]]
}


Entry 4:
{
  "formula": "LiCaMgPb",
  "functional": "PBE",
  "state": "relaxed",
  "rho_g_cm3": 4.56,
  "crystal_system": "cubic",
  "formation_enthalpy_0k_ev_per_atom": -0.259,
  "m_tot_mub_per_cell": 0.00,
  "dft_energy_ev_per_cell": -10.3,
  "lattice": [[0.000, 3.702, 3.702], [3.702, 0.000, 3.702], [3.702, 3.702, 0.000]],
  "species": ["Li", "Ca", "Mg", "Pb"],
  "frac_coords": [[0.000, 0.000, 0.000], [0.500, 0.500, 0.500], [0.250, 0.250, 0.250], [0.750, 0.750, 0.750]]
}